Entry from Alexandria via LeMat-Bulk: a geometry-optimized MnF3 structure (GGA-PBEsol).

abc: 5.378 5.378 3.817
angles: 90.00 90.00 90.00
Positions (direct):
Mn 0.000 0.000 0.000
Mn 0.500 0.500 0.000
F 0.000 0.000 0.500
F 0.226 0.274 0.000
F 0.274 0.774 0.000
F 0.500 0.500 0.500
F 0.726 0.226 0.000
F 0.774 0.726 0.000

Summary:
- E_tot (Ha/atom) = -0.231
- uncorrected formation energy (eV/atom) = -2.407

---

Entry from Alexandria via LeMat-Bulk: a geometry-optimized Ca2NbIrI structure (GGA-PBEsol).

abc: 5.863 5.863 4.588
angles: 90.00 90.00 90.00
Positions (direct):
Ca 0.000 0.500 0.000
Ca 0.500 0.000 0.000
Nb 0.000 0.000 0.000
Ir 0.000 0.000 0.500
I 0.500 0.500 0.500

Summary:
- E_tot (Ha/atom) = -0.177
- uncorrected formation energy (eV/atom) = 0.531

---

Entry from Alexandria via LeMat-Bulk: a geometry-optimized CrCd2Cl structure (GGA-PBEsol).

abc: 5.046 5.046 3.188
angles: 90.00 90.00 90.00
Positions (direct):
Cr 0.000 0.000 0.000
Cd 0.000 0.500 0.500
Cd 0.500 0.000 0.500
Cl 0.500 0.500 0.000

Summary:
- E_tot (Ha/atom) = -0.125
- uncorrected formation energy (eV/atom) = 0.256
- ΔE to the lowest computed polymorph (meV per atom) = 222

---

Entry from Alexandria via LeMat-Bulk: a geometry-optimized Pd3PtS structure (GGA-PBEsol).

abc: 4.346 4.346 4.346
angles: 90.00 90.00 90.00
Positions (direct):
Pd 0.000 0.000 0.500
Pd 0.000 0.500 0.000
Pd 0.500 0.000 0.000
Pt 0.500 0.500 0.500
S 0.000 0.000 0.000

Summary:
- E_tot (Ha/atom) = -0.207
- uncorrected formation energy (eV/atom) = 0.215

---

Entry from Alexandria via LeMat-Bulk: a geometry-optimized Y3In structure (GGA-PBEsol).

abc: 6.037 6.037 6.037
angles: 90.00 90.00 90.00
Positions (direct):
Y 0.000 0.250 0.500
Y 0.000 0.750 0.500
Y 0.250 0.500 0.000
Y 0.500 0.000 0.250
Y 0.500 0.000 0.750
Y 0.750 0.500 0.000
In 0.000 0.000 0.000
In 0.500 0.500 0.500

Summary:
- E_form (eV/atom) = -0.26
- E_tot (Ha/atom) = -0.225

---

Entry from Alexandria via LeMat-Bulk: a geometry-optimized ZrCoSi structure (GGA-PBEsol).

abc: 3.999 3.999 3.176
angles: 90.00 90.00 120.00
Positions (direct):
Zr 0.000 0.000 0.000
Co 0.333 0.667 0.500
Si 0.667 0.333 0.500

Summary:
- E_tot (Ha/atom) = -0.305
- uncorrected formation energy (eV/atom) = -0.775